A plane-wave DFT calculation with PBE-GGA was carried out for Na2U2SnSe6 after structural relaxation.

Results
- DOS at the Fermi energy: 9.2 states/eV/f.u.

```
data_Na2U2SnSe6
_space_group_name_H-M_alt 'C 1 2/m 1'
_space_group_IT_number 12
_cell_length_a 7.2843
_cell_length_b 12.7526
_cell_length_c 7.3061
_cell_angle_alpha 90.00
_cell_angle_beta 108.66
_cell_angle_gamma 90.00
loop_
_space_group_symop_operation_xyz
'x,y,z'
'-x,-y,-z'
'-x,y,-z'
'x,-y,z'
'x+1/2,y+1/2,z'
'-x+1/2,-y+1/2,-z'
'-x+1/2,y+1/2,-z'
'x+1/2,-y+1/2,z'
loop_
_atom_site_label
_atom_site_type_symbol
_atom_site_fract_x
_atom_site_fract_y
_atom_site_fract_z
Na1 Na 0.0000 0.1602 0.0000
U1 U 0.0000 0.3346 0.5000
Sn1 Sn 0.0000 0.0000 0.5000
Se1 Se 0.2228 0.5000 0.7284
Se2 Se 0.2453 0.1766 0.7245
```

A plane-wave DFT calculation with PBE-GGA was carried out for Na2USnSe4 after structural relaxation.

Results
- DOS at the Fermi energy: 4.2 states/eV/f.u.

```
data_Na2USnSe4
_space_group_name_H-M_alt 'P 1 2/m 1'
_space_group_IT_number 10
_cell_length_a 7.2779
_cell_length_b 4.2199
_cell_length_c 7.4824
_cell_angle_alpha 90.00
_cell_angle_beta 109.06
_cell_angle_gamma 90.00
loop_
_space_group_symop_operation_xyz
'x,y,z'
'-x,-y,-z'
'-x,y,-z'
'x,-y,z'
loop_
_atom_site_label
_atom_site_type_symbol
_atom_site_fract_x
_atom_site_fract_y
_atom_site_fract_z
Na1 Na 0.0000 0.0000 0.0000
Na2 Na 0.0000 0.5000 0.5000
U1 U 0.5000 0.0000 0.5000
Sn1 Sn 0.5000 0.5000 0.0000
Se1 Se 0.2695 0.0000 0.7367
Se2 Se 0.2715 0.5000 0.2679
```

| no. | raw formation energy (meV/atom) |
| --- | --- |
| 1 | -1060 |
| 2 | -1016 |